(1)
# PBE-GGA PrDyPt2, relaxed
# - Mass density: 12.279 Mg/m³
# - Total magnetic moment: 0.00 μB/atom
# - Uncorrected energy: -26.26 eV per formula unit
# - Relative energy among the computed polymorphs: 0.009 eV/atom
data_PrDyPt2
_chemical_formula_sum 'Pr2 Dy2 Pt4'
_cell_length_a 5.6723
_cell_length_b 4.5799
_cell_length_c 7.2230
_cell_angle_alpha 90.00
_cell_angle_beta 91.37
_cell_angle_gamma 90.00
_symmetry_space_group_name_H-M 'P 1 21/m 1'
_symmetry_Int_Tables_number 11
_symmetry_space_group_name_Hall '-P 2yb'
loop_
_atom_site_label
_atom_site_fract_x
_atom_site_fract_y
_atom_site_fract_z
_atom_site_occupancy
Pr1 0.1415 0.2500 0.1856 1
Dy1 0.3611 0.2500 0.6800 1
Pt1 0.1637 0.7500 0.4635 1
Pt2 0.3531 0.7500 0.9490 1

***

(2)
# PBE-GGA NaHfTlPd, relaxed
# - Mass density: 11.136 Mg/m³
# - Total magnetic moment: 0.00 μB/atom
# - Uncorrected energy: -18.95 eV per formula unit
# - Relative energy among the computed polymorphs: 0.000 eV/atom
data_NaHfTlPd
_chemical_formula_sum 'Na4 Hf4 Tl4 Pd4'
_cell_length_a 6.7354
_cell_length_b 6.7354
_cell_length_c 6.7354
_cell_angle_alpha 90.00
_cell_angle_beta 90.00
_cell_angle_gamma 90.00
_symmetry_space_group_name_H-M 'F -4 3 m'
_symmetry_Int_Tables_number 216
_symmetry_space_group_name_Hall 'F -4 2 3'
loop_
_atom_site_label
_atom_site_fract_x
_atom_site_fract_y
_atom_site_fract_z
_atom_site_occupancy
Na1 0.0000 0.0000 0.0000 1
Hf1 0.2500 0.2500 0.7500 1
Tl1 0.2500 0.2500 0.2500 1
Pd1 0.0000 0.0000 0.5000 1

***

(3)
# PBE-GGA TbNdZn2Ga2, relaxed
# - Mass density: 7.533 Mg/m³
# - Total magnetic moment: 0.01 μB/atom
# - Uncorrected energy: -21.35 eV per formula unit
data_TbNdZn2Ga2
_chemical_formula_sum 'Tb1 Nd1 Zn2 Ga2'
_cell_length_a 4.4415
_cell_length_b 4.4415
_cell_length_c 7.3989
_cell_angle_alpha 90.00
_cell_angle_beta 90.00
_cell_angle_gamma 120.00
_symmetry_space_group_name_H-M 'P -3 m 1'
_symmetry_Int_Tables_number 164
_symmetry_space_group_name_Hall '-P 3 2"'
loop_
_atom_site_label
_atom_site_fract_x
_atom_site_fract_y
_atom_site_fract_z
_atom_site_occupancy
Tb1 0.0000 0.0000 0.0000 1
Nd1 0.0000 0.0000 0.5000 1
Zn1 0.3333 0.6667 0.2299 1
Ga1 0.3333 0.6667 0.7635 1

***

(4)
# PBE-GGA CdTePd, relaxed
# - Mass density: 7.841 Mg/m³
# - Uncorrected energy: -9.45 eV per formula unit
data_CdTePd
_chemical_formula_sum 'Cd4 Te4 Pd4'
_cell_length_a 6.6453
_cell_length_b 6.6453
_cell_length_c 6.6453
_cell_angle_alpha 90.00
_cell_angle_beta 90.00
_cell_angle_gamma 90.00
_symmetry_space_group_name_H-M 'F -4 3 m'
_symmetry_Int_Tables_number 216
_symmetry_space_group_name_Hall 'F -4 2 3'
loop_
_atom_site_label
_atom_site_fract_x
_atom_site_fract_y
_atom_site_fract_z
_atom_site_occupancy
Cd1 0.0000 0.0000 0.0000 1
Te1 0.2500 0.2500 0.2500 1
Pd1 0.0000 0.0000 0.5000 1

***

(5)
# PBE-GGA LaNd3Se3S4, relaxed
# - Mass density: 5.139 Mg/m³
# - Total magnetic moment: 0.00 μB/atom
# - Uncorrected energy: -65.70 eV per formula unit
data_LaNd3Se3S4
_chemical_formula_sum 'La2 Nd6 Se6 S8'
_cell_length_a 10.1191
_cell_length_b 4.3510
_cell_length_c 13.7495
_cell_angle_alpha 90.00
_cell_angle_beta 90.00
_cell_angle_gamma 90.00
_symmetry_space_group_name_H-M 'A m m 2'
_symmetry_Int_Tables_number 38
_symmetry_space_group_name_Hall 'A 2 -2'
loop_
_atom_site_label
_atom_site_fract_x
_atom_site_fract_y
_atom_site_fract_z
_atom_site_occupancy
La1 0.0000 0.0000 0.0000 1
Nd1 0.2377 0.0000 0.2797 1
Nd2 0.5000 0.0000 0.9815 1
Se1 0.0000 0.0000 0.6619 1
Se2 0.3789 0.0000 0.6305 1
S1 0.0000 0.0000 0.3755 1
S2 0.2469 0.0000 0.9064 1
S3 0.5000 0.0000 0.3493 1

***

(6)
# PBE-GGA LuFeIrPb, relaxed
# - Mass density: 14.751 Mg/m³
# - Total magnetic moment: 0.41 μB/atom
# - Uncorrected energy: -25.58 eV per formula unit
# - Relative energy among the computed polymorphs: 0.000 eV/atom
data_LuFeIrPb
_chemical_formula_sum 'Lu4 Fe4 Ir4 Pb4'
_cell_length_a 6.5714
_cell_length_b 6.5714
_cell_length_c 6.5714
_cell_angle_alpha 90.00
_cell_angle_beta 90.00
_cell_angle_gamma 90.00
_symmetry_space_group_name_H-M 'F -4 3 m'
_symmetry_Int_Tables_number 216
_symmetry_space_group_name_Hall 'F -4 2 3'
loop_
_atom_site_label
_atom_site_fract_x
_atom_site_fract_y
_atom_site_fract_z
_atom_site_occupancy
Lu1 0.0000 0.0000 0.0000 1
Fe1 0.2500 0.2500 0.7500 1
Ir1 0.2500 0.2500 0.2500 1
Pb1 0.0000 0.0000 0.5000 1